# 1
Computed, not measured: crystalline Li2TiI at its relaxed geometry at the GGA-PBE level of DFT. Values from VASP.

**Raw formation energy**: 91 kJ/mol of formula units
**Polymorph energy (0 for the lowest one)**: 0 meV/atom
**DOS(E_F)**: 9.6 states/eV/cell
**Calculated volume**: 22.4 Å³/atom
**Calculated total energy**: -3.084 eV/atom

Cell and atoms, written as Quantum ESPRESSO input:
```
&SYSTEM
  ibrav = 0, nat = 8, ntyp = 3
/
ATOMIC_SPECIES
I 126.90 I.upf
Li 6.94 Li.upf
Ti 47.87 Ti.upf
CELL_PARAMETERS angstrom
8.0171 0.0000 0.0000
0.0000 8.0171 0.0000
4.0085 4.0085 2.7834
ATOMIC_POSITIONS crystal
I 0.0000 0.0000 0.0000
I 0.7500 0.2500 0.5000
Li 0.6569 0.1250 0.2500
Li 0.0931 0.6250 0.2500
Li 0.3750 0.3431 0.7500
Li 0.8750 0.9069 0.7500
Ti 0.5000 0.5000 0.0000
Ti 0.2500 0.7500 0.5000
```



# 2
Computed, not measured: crystalline LiTiI4 at its relaxed geometry at the GGA-PBE level of DFT. Values from VASP.

**Raw formation energy**: -514 kJ/mol of formula units
**DOS(E_F)**: 3.4 states/eV/cell
**Calculated volume**: 36.6 Å³/atom
**Calculated total energy**: -3.555 eV/atom

Cell and atoms, written as Quantum ESPRESSO input:
```
&SYSTEM
  ibrav = 0, nat = 6, ntyp = 3
/
ATOMIC_SPECIES
Li 6.94 Li.upf
Ti 47.87 Ti.upf
I 126.90 I.upf
CELL_PARAMETERS angstrom
-0.4951 2.5919 3.2069
5.0949 -6.0718 3.0050
3.2262 5.2452 -3.7413
ATOMIC_POSITIONS crystal
Li 0.5000 0.0000 0.5000
Ti 0.0000 0.0000 0.0000
I 0.3885 0.7770 0.0399
I 0.1094 0.2189 0.4262
I 0.6115 0.2230 0.9601
I 0.8906 0.7811 0.5738
```



# 3
Computed, not measured: crystalline LiTi3I at its relaxed geometry at the GGA-PBE level of DFT. Values from VASP.

**Raw formation energy**: 498 kJ/mol of formula units
**Polymorph energy (0 for the lowest one)**: 177 meV/atom
**DOS(E_F)**: 10.7 states/eV/cell
**Calculated volume**: 25.5 Å³/atom
**Calculated total energy**: -4.397 eV/atom

Cell and atoms, written as Quantum ESPRESSO input:
```
&SYSTEM
  ibrav = 0, nat = 5, ntyp = 3
/
ATOMIC_SPECIES
I 126.90 I.upf
Li 6.94 Li.upf
Ti 47.87 Ti.upf
CELL_PARAMETERS angstrom
-3.3432 -1.4852 -3.4607
3.3438 -3.2995 -1.8143
-1.7323 -3.5024 3.1767
ATOMIC_POSITIONS crystal
I 0.0000 0.0000 0.0000
Li 0.5000 0.5000 0.5000
Ti 0.0000 0.5000 0.0000
Ti 0.0000 0.0000 0.5000
Ti 0.5000 0.0000 0.0000
```



# 4
Computed, not measured: crystalline LiTi2I8 at its relaxed geometry at the GGA-PBE level of DFT. Values from VASP.

**Raw formation energy**: -831 kJ/mol of formula units
**DOS(E_F)**: 6.9 states/eV/cell
**Calculated volume**: 50.3 Å³/atom
**Calculated total energy**: -3.520 eV/atom

Cell and atoms, written as Quantum ESPRESSO input:
```
&SYSTEM
  ibrav = 0, nat = 11, ntyp = 3
/
ATOMIC_SPECIES
Li 6.94 Li.upf
Ti 47.87 Ti.upf
I 126.90 I.upf
CELL_PARAMETERS angstrom
7.2141 0.0100 0.0076
0.0723 8.8695 -0.2025
0.0723 2.1932 8.5965
ATOMIC_POSITIONS crystal
Li 0.0000 0.0000 0.0000
Ti 0.6506 0.8080 0.8080
Ti 0.3494 0.1920 0.1920
I 0.2157 0.2893 0.9140
I 0.7843 0.0860 0.7107
I 0.2919 0.8180 0.8180
I 0.7081 0.1820 0.1820
I 0.2157 0.9140 0.2893
I 0.7843 0.7107 0.0860
I 0.7587 0.6310 0.6310
I 0.2413 0.3690 0.3690
```



# 5
Computed, not measured: crystalline LiTiTl2I6 at its relaxed geometry at the GGA-PBE level of DFT. Values from VASP.

**Raw formation energy**: -727 kJ/mol of formula units
**DOS(E_F)**: 6.5 states/eV/cell
**Calculated volume**: 37.9 Å³/atom
**Calculated total energy**: -3.138 eV/atom

Cell and atoms, written as Quantum ESPRESSO input:
```
&SYSTEM
  ibrav = 0, nat = 10, ntyp = 4
/
ATOMIC_SPECIES
Li 6.94 Li.upf
Ti 47.87 Ti.upf
Tl 204.38 Tl.upf
I 126.90 I.upf
CELL_PARAMETERS angstrom
8.1327 -0.0031 0.0048
4.0636 7.0468 0.0039
4.0685 2.3493 6.6136
ATOMIC_POSITIONS crystal
Li 0.8142 0.8140 0.5588
Ti 0.3221 0.3223 0.0335
Tl 0.5432 0.5433 0.3700
Tl 0.0356 0.0353 0.8933
I 0.5627 0.1562 0.2722
I 0.1561 0.0084 0.2726
I 0.0088 0.5622 0.2728
I 0.4856 0.6426 0.7803
I 0.6422 0.0918 0.7805
I 0.0911 0.4854 0.7811
```



# 6
Computed, not measured: crystalline LiTiTlI6 at its relaxed geometry at the GGA-PBE level of DFT. Values from VASP.

**Raw formation energy**: -675 kJ/mol of formula units
**Calculated volume**: 40.3 Å³/atom
**Calculated total energy**: -3.163 eV/atom

Cell and atoms, written as Quantum ESPRESSO input:
```
&SYSTEM
  ibrav = 0, nat = 9, ntyp = 4
/
ATOMIC_SPECIES
Li 6.94 Li.upf
Ti 47.87 Ti.upf
Tl 204.38 Tl.upf
I 126.90 I.upf
CELL_PARAMETERS angstrom
-6.5472 3.4793 -1.1683
-5.7655 -1.1825 4.6578
2.2597 5.6796 4.2356
ATOMIC_POSITIONS crystal
Li 0.6665 0.6666 0.5000
Ti 0.3334 0.3334 0.5000
Tl 0.0000 0.0000 0.0000
I 0.0190 0.3620 0.2839
I 0.3620 0.0190 0.7161
I 0.6190 0.3621 0.7161
I 0.0187 0.6192 0.7161
I 0.3621 0.6190 0.2839
I 0.6191 0.0187 0.2839
```